# 1
Compound: LiCd2Ag
Source: the Alexandria database
Functional: SCAN
Structure: PBEsol geometry

Properties
Symmetry: C2/m, No. 12
Energy of formation from the pure elements: -0.15 eV/atom

abc: 2.9717 4.9936 5.1714
angles: 98.71 90.00 107.31
Atoms (fractional coordinates):
Ag  0.5000  0.0000  0.0000
Cd  0.2462  0.4923  0.2504
Li  0.0000  0.0000  0.5000
Cd  0.7538  0.5077  0.7496

=====

# 2
Compound: K4Ge9O20
Source: the Alexandria database
Functional: SCAN
Structure: PBEsol geometry

Properties
Symmetry: I4_1/a, No. 88
E_form (uncorrected): -1.91 eV per atom

abc: 7.5515 11.7809 11.7809
angles: 84.10 71.31 71.31
Last column: magnetic moment on the atom in μB.
Atoms (fractional coordinates):
O  0.4218  0.0296  0.6238  0.00
Ge  0.7500  0.5000  0.5000  0.00
O  0.2260  0.7798  0.5235  0.00
O  0.0328  0.1190  0.0606  0.01
O  0.7956  0.8762  0.5296  0.00
O  0.5821  0.3428  0.2691  0.01
K  0.5875  0.6071  0.7790  0.00
Ge  0.4767  0.3830  0.4318  0.00
O  0.5240  0.7202  0.9765  0.00
O  0.3478  0.4429  0.6002  0.05
O  0.9018  0.5606  0.3810  0.01
O  0.6981  0.8998  0.9429  0.05
K  0.1625  0.8929  0.7210  0.00
Ge  0.1156  0.5523  0.8340  0.00
O  0.0752  0.9704  0.3762  0.00
O  0.2505  0.5235  0.2202  0.00
K  0.9736  0.3929  0.2210  0.00
O  0.8482  0.9394  0.1190  0.01
O  0.8434  0.4394  0.6190  0.01
O  0.9544  0.6238  0.9704  0.00
O  0.5293  0.2202  0.4765  0.00
O  0.1940  0.6572  0.7309  0.01
O  0.2014  0.1238  0.4704  0.00
Ge  0.5019  0.4477  0.1660  0.00
K  0.6334  0.7790  0.3929  0.00
K  0.7764  0.1071  0.2790  0.00
O  0.5560  0.8428  0.7691  0.01
O  0.2124  0.8810  0.9394  0.01
Ge  0.6344  0.9477  0.6660  0.00
Ge  0.2481  0.0523  0.3340  0.00
O  0.1488  0.2691  0.6572  0.01
K  0.9446  0.2790  0.8929  0.00
O  0.3591  0.9429  0.1002  0.05
O  0.2207  0.2798  0.0235  0.00
Ge  0.4585  0.8830  0.9318  0.00
K  0.8054  0.2210  0.6071  0.00
O  0.0519  0.6002  0.5571  0.05
Ge  0.6996  0.6660  0.0523  0.00
O  0.6749  0.7691  0.1572  0.01
O  0.0751  0.7309  0.3428  0.01
K  0.1166  0.7210  0.1071  0.00
Ge  0.2915  0.6170  0.5682  0.00
O  0.5376  0.6190  0.5606  0.01
Ge  0.3321  0.1660  0.5523  0.00
O  0.3909  0.5571  0.3998  0.05
O  0.4995  0.9765  0.2798  0.00
O  0.2093  0.3998  0.4429  0.05
Ge  0.0504  0.8340  0.4477  0.00
O  0.4022  0.0571  0.8998  0.05
O  0.6012  0.2309  0.8428  0.01
O  0.7557  0.0235  0.7202  0.00
O  0.5486  0.3762  0.0296  0.00
O  0.5407  0.1002  0.0571  0.05
Ge  0.0000  0.0000  0.0000  0.00
Ge  0.0915  0.4318  0.6170  0.00
O  0.7172  0.3810  0.4394  0.01
Ge  0.6585  0.0682  0.8830  0.00
Ge  0.4179  0.3340  0.9477  0.00
O  0.9943  0.4765  0.7798  0.00
Ge  0.2733  0.1170  0.0682  0.00
O  0.3282  0.4704  0.8762  0.00
O  0.6748  0.5296  0.1238  0.00
O  0.9066  0.0606  0.8810  0.01
O  0.1679  0.1572  0.2309  0.01
Ge  0.1403  0.5682  0.3830  0.00
Ge  0.6097  0.9318  0.1170  0.00

=====

# 3
Compound: Ta13Cr3
Source: the Alexandria database
Functional: SCAN
Structure: PBEsol geometry

Properties
Symmetry: Amm2, No. 38
Energy of formation from the pure elements: 0.05 eV/atom

abc: 6.4081 6.4189 6.4189
angles: 91.36 90.00 90.00
Atoms (fractional coordinates):
Ta  0.0000  0.2424  0.7576
Ta  0.5000  0.2383  0.2358
Ta  0.5000  0.7642  0.7617
Ta  0.2441  0.9923  0.4926
Ta  0.2448  0.5033  0.4967
Ta  0.5000  0.2449  0.7551
Ta  0.0000  0.7636  0.7671
Cr  0.0000  0.7514  0.2486
Ta  0.5000  0.7588  0.2412
Ta  0.7559  0.9923  0.4926
Ta  0.2441  0.5074  0.0077
Ta  0.7552  0.5033  0.4967
Cr  0.7527  0.9988  0.0012
Cr  0.2473  0.9988  0.0012
Ta  0.0000  0.2329  0.2364
Ta  0.7559  0.5074  0.0077

=====

# 4
Compound: MgAsOs2
Source: the Alexandria database
Functional: SCAN
Structure: PBEsol geometry

Properties
Symmetry: Cmmm, No. 65
Energy of formation from the pure elements: 0.51 eV/atom

abc: 2.8678 2.8678 8.4273
angles: 90.00 90.00 117.45
Atoms (fractional coordinates):
Os  0.0000  0.0000  0.7301
As  0.5000  0.5000  0.5000
Mg  0.5000  0.5000  0.0000
Os  0.0000  0.0000  0.2699

=====

# 5
Compound: Na2TiCrP3O12
Source: the Alexandria database
Functional: SCAN
Structure: PBEsol geometry

Properties
Symmetry: P2_13, No. 198
E_form (uncorrected): -2.64 eV per atom

abc: 9.7776 9.7776 9.7776
angles: 90.00 90.00 90.00
Last column: magnetic moment on the atom in μB.
Atoms (fractional coordinates):
Na  0.1480  0.1480  0.1480  0.00
P  0.6196  0.9732  0.7924  0.00
O  0.2293  0.4559  0.2987  0.00
Na  0.3520  0.8520  0.6480  0.00
O  0.7293  0.0441  0.7013  0.00
O  0.2334  0.9863  0.4497  0.01
O  0.1727  0.5163  0.0582  0.00
Ti  0.1111  0.6111  0.8889  0.02
O  0.5137  0.5503  0.7334  0.01
O  0.0582  0.1727  0.5163  0.00
O  0.5503  0.7334  0.5137  0.01
P  0.9732  0.7924  0.6196  0.00
O  0.8240  0.7545  0.5955  0.01
Cr  0.6625  0.6625  0.6625  2.78
P  0.8804  0.0268  0.2924  0.00
Ti  0.6111  0.8889  0.1111  0.02
O  0.9418  0.6727  0.9837  0.00
O  0.2666  0.0137  0.9497  0.01
O  0.3273  0.4837  0.5582  0.00
O  0.9045  0.1760  0.2545  0.01
O  0.1760  0.2545  0.9045  0.01
O  0.5163  0.0582  0.1727  0.00
O  0.8273  0.0163  0.4418  0.00
O  0.7013  0.7293  0.0441  0.00
P  0.5268  0.2076  0.1196  0.00
O  0.9559  0.2013  0.7707  0.00
O  0.9837  0.9418  0.6727  0.00
P  0.2076  0.1196  0.5268  0.00
O  0.0955  0.6760  0.2455  0.01
O  0.7987  0.2707  0.5441  0.00
O  0.0163  0.4418  0.8273  0.00
O  0.0441  0.7013  0.7293  0.00
P  0.7076  0.3804  0.4732  0.00
Cr  0.1625  0.8375  0.3375  2.78
O  0.6760  0.2455  0.0955  0.01
O  0.9863  0.4497  0.2334  0.01
O  0.2707  0.5441  0.7987  0.00
Na  0.5709  0.0709  0.4291  0.00
O  0.2987  0.2293  0.4559  0.00
Ti  0.8889  0.1111  0.6111  0.02
Na  0.0709  0.4291  0.5709  0.00
O  0.4418  0.8273  0.0163  0.00
Na  0.4291  0.5709  0.0709  0.00
Na  0.6480  0.3520  0.8520  0.00
O  0.2545  0.9045  0.1760  0.01
P  0.2924  0.8804  0.0268  0.00
O  0.4045  0.3240  0.7455  0.01
Na  0.8520  0.6480  0.3520  0.00
O  0.2455  0.0955  0.6760  0.01
O  0.4559  0.2987  0.2293  0.00
P  0.3804  0.4732  0.7076  0.00
O  0.6727  0.9837  0.9418  0.00
O  0.7455  0.4045  0.3240  0.01
O  0.0503  0.7666  0.4863  0.01
Na  0.9291  0.9291  0.9291  0.00
O  0.2013  0.7707  0.9559  0.00
O  0.5582  0.3273  0.4837  0.00
Cr  0.8375  0.3375  0.1625  2.78
O  0.7334  0.5137  0.5503  0.01
O  0.3240  0.7455  0.4045  0.01
O  0.4863  0.0503  0.7666  0.01
Cr  0.3375  0.1625  0.8375  2.78
P  0.0268  0.2924  0.8804  0.00
O  0.0137  0.9497  0.2666  0.01
O  0.4837  0.5582  0.3273  0.00
O  0.5441  0.7987  0.2707  0.00
O  0.7545  0.5955  0.8240  0.01
O  0.7666  0.4863  0.0503  0.01
P  0.4732  0.7076  0.3804  0.00
O  0.9497  0.2666  0.0137  0.01
P  0.7924  0.6196  0.9732  0.00
O  0.7707  0.9559  0.2013  0.00
O  0.5955  0.8240  0.7545  0.01
O  0.4497  0.2334  0.9863  0.01
P  0.1196  0.5268  0.2076  0.00
Ti  0.3889  0.3889  0.3889  0.02

=====

# 6
Compound: CsSnPS4
Source: the Alexandria database
Functional: SCAN
Structure: PBEsol geometry

Properties
Symmetry: Pnma, No. 62
E_form (uncorrected): -0.74 eV per atom

abc: 6.1965 6.6098 17.9610
angles: 90.00 90.00 90.00
Atoms (fractional coordinates):
S  0.9325  0.2500  0.1513
Cs  0.4509  0.2500  0.2919
Sn  0.7886  0.2500  0.5123
S  0.6480  0.7500  0.5206
S  0.3933  0.5004  0.1158
S  0.6067  0.0004  0.8842
Cs  0.5491  0.7500  0.7081
S  0.1480  0.2500  0.9794
S  0.3933  0.9996  0.1158
S  0.8933  0.0004  0.3842
S  0.3520  0.2500  0.4794
P  0.2122  0.2500  0.0923
P  0.7122  0.7500  0.4077
S  0.1067  0.9996  0.6158
P  0.7878  0.7500  0.9077
S  0.5675  0.2500  0.6513
S  0.4325  0.7500  0.3487
S  0.6067  0.4996  0.8842
P  0.2878  0.2500  0.5923
Cs  0.0491  0.2500  0.7919
Sn  0.2886  0.7500  0.9877
S  0.8520  0.7500  0.0206
Sn  0.7114  0.2500  0.0123
S  0.1067  0.5004  0.6158
Cs  0.9509  0.7500  0.2081
S  0.0675  0.7500  0.8487
S  0.8933  0.4996  0.3842
Sn  0.2114  0.7500  0.4877

=====

# 7
Compound: AsRuPt2
Source: the Alexandria database
Functional: SCAN
Structure: PBEsol geometry

Properties
Symmetry: P2/m, No. 10
Energy of formation from the pure elements: 0.12 eV/atom

abc: 2.8111 4.0758 5.3220
angles: 90.00 102.32 90.00
Atoms (fractional coordinates):
Pt  0.1085  0.0000  0.2532
Ru  0.5000  0.5000  0.0000
Pt  0.8915  0.0000  0.7468
As  0.5000  0.5000  0.5000

=====

# 8
Compound: ZnP2H14C2N6O6
Source: the Alexandria database
Functional: SCAN
Structure: PBEsol geometry

Properties
Symmetry: Fdd2, No. 43

abc: 9.2183 9.2183 9.4965
angles: 112.45 112.45 102.31
Atoms (fractional coordinates):
H  0.1129  0.4987  0.4986
N  0.4717  0.3848  0.7743
O  0.0967  0.5931  0.9581
O  0.8886  0.8850  0.5419
H  0.4728  0.4940  0.8613
H  0.5180  0.1517  0.5729
H  0.4365  0.8626  0.8297
H  0.8833  0.5518  0.9259
H  0.1241  0.2926  0.4259
N  0.4474  0.8605  0.7257
H  0.8483  0.4820  0.4271
N  0.6011  0.8756  0.5866
H  0.1923  0.9906  0.7206
O  0.7029  0.0395  0.3140
H  0.3643  0.2502  0.0014
H  0.0094  0.8077  0.2794
O  0.2502  0.3933  0.9600
P  0.0366  0.8497  0.6528
O  0.1389  0.9755  0.1860
C  0.1359  0.4100  0.2817
H  0.2218  0.5201  0.7794
P  0.1339  0.4469  0.8472
H  0.4799  0.7782  0.2206
O  0.9605  0.2971  0.6860
N  0.6280  0.2666  0.6612
O  0.4069  0.9033  0.0419
N  0.1446  0.2833  0.1612
C  0.5900  0.8641  0.7183
N  0.7167  0.8554  0.8388
H  0.8253  0.8562  0.8311
O  0.1150  0.1114  0.4581
O  0.0245  0.8611  0.8140
H  0.4482  0.1167  0.0741
N  0.7645  0.5390  0.9134
N  0.1244  0.3989  0.4134
H  0.1438  0.1747  0.1689
H  0.1374  0.5635  0.1703
H  0.6951  0.8288  0.9271
O  0.3167  0.9598  0.4600
C  0.6216  0.3958  0.7817
P  0.1503  0.9634  0.3472
H  0.7498  0.6357  0.9986
H  0.1173  0.6385  0.3613
H  0.5060  0.5272  0.1387
Zn  0.1709  0.8291  0.0000
C  0.6042  0.3784  0.2183
H  0.7442  0.2751  0.6689
O  0.6067  0.7498  0.0400
O  0.0402  0.6833  0.5400
N  0.6152  0.5283  0.2257
H  0.3568  0.2829  0.6703
Zn  0.9209  0.0791  0.5000
N  0.1395  0.5526  0.2743
H  0.1712  0.3049  0.0729
H  0.7249  0.2558  0.3311
P  0.5531  0.8661  0.1528
H  0.3615  0.8827  0.6387
N  0.4610  0.2355  0.0866
H  0.7074  0.8759  0.5741
H  0.5013  0.8871  0.5014
H  0.7171  0.6432  0.3297
N  0.7334  0.3720  0.3388

=====

no.,DFT total energy (eV per cell)
1,-95.200
2,-785.571
3,-919.875
4,-166.883
5,-795.946
6,-511.325
7,-194.918
8,-446.778